No. 1
InOsSe2: relaxed, PBE-GGA.

Volume (A^3/atom): 21.00
M_tot (Bohr magnetons per cell): 0.0
Space-group type: No. 44
Density of states at the Fermi level (states/eV/atom): 0.556
Energy relative to the elements, uncorrected (meV per atom): 293

Cell: 6.7655 6.7655 6.7655 Å, 154.03 141.58 46.96°
Closest atoms and distances in Å follow each position.
Fractional positions:
1 In 0.4343 0.4343 0.0000  2 Os 2.97, 2 In 3.04, 6 Se 3.05-3.18
2 Se 0.0707 0.0707 0.0000  2 Os 2.48
3 Se 0.7665 0.2665 0.5000  4 Os 2.74, 2 Se 3.04, 2 In 3.05
4 Os 0.2285 0.7285 0.5000  6 Se 2.48-2.74

---

No. 2
InOsSe2: relaxed, PBE-GGA.

Volume (A^3/atom): 18.73
M_tot (Bohr magnetons per cell): 0.0
Space-group type: No. 47
Density of states at the Fermi level (states/eV/atom): 1.398
Energy relative to the elements, uncorrected (meV per atom): 799

Cell: 3.2381 4.7739 4.8454 Å, 90.00 90.00 90.00°
Closest atoms and distances in Å follow each position.
Fractional positions:
1 Os 0.0000 0.5000 0.5000  4 In 2.88, 4 Se 2.91
2 In 0.5000 0.0000 0.5000  4 Os 2.88, 4 Se 2.91
3 Se 0.0000 0.0000 0.0000  4 Se 2.88, 4 In 2.91
4 Se 0.5000 0.5000 0.0000  4 Se 2.88, 4 Os 2.91

---

No. 3
InOsSe: relaxed, PBE-GGA.

Volume (A^3/atom): 20.71
M_tot (Bohr magnetons per cell): 0.0
Excess energy over the best structure of this formula in the dataset (eV/atom): 0.234
Space-group type: No. 216
Density of states at the Fermi level (states/eV/atom): 0.921
Energy relative to the elements, uncorrected (meV per atom): 554

Cell: 4.4458 4.4458 4.4458 Å, 60.00 60.00 60.00°
Closest atoms and distances in Å follow each position.
Fractional positions:
1 In 0.5000 0.5000 0.5000  4 Os 2.72
2 Se 0.0000 0.0000 0.0000  4 Os 2.72
3 Os 0.2500 0.2500 0.2500  4 Se 2.72, 4 In 2.72

---

No. 4
InOsSe2: relaxed, PBE-GGA.

Volume (A^3/atom): 19.48
M_tot (Bohr magnetons per cell): 0.0
Space-group type: No. 12
Density of states at the Fermi level (states/eV/atom): 0.696
Energy relative to the elements, uncorrected (meV per atom): 722

Cell: 4.3397 5.8760 3.4665 Å, 72.85 89.98 111.66°
Closest atoms and distances in Å follow each position.
Fractional positions:
1 Se 0.0000 0.0000 0.0000  4 Se 2.78, 2 Os 2.94, 2 In 2.94
2 Se 0.5000 0.0000 0.5000  4 Se 2.78, 2 In 2.94, 2 Os 2.94
3 In 0.0000 0.5000 0.5000  4 Os 2.78, 4 Se 2.94
4 Os 0.5000 0.5000 0.0000  4 In 2.78, 4 Se 2.94

---

No. 5
InOsSe: relaxed, PBE-GGA.

Volume (A^3/atom): 18.33
M_tot (Bohr magnetons per cell): 0.0
Excess energy over the best structure of this formula in the dataset (eV/atom): 0.197
Space-group type: No. 187
Density of states at the Fermi level (states/eV/atom): 0.787
Energy relative to the elements, uncorrected (meV per atom): 516

Cell: 4.4207 4.4207 3.2489 Å, 90.00 90.00 120.00°
Closest atoms and distances in Å follow each position.
Fractional positions:
1 Se 0.6667 0.3333 0.5000  3 Os 2.55
2 Os 0.3333 0.6667 0.4999  3 Se 2.55
3 In 0.0000 0.0000 0.0001  6 Os 3.02-3.03, 6 Se 3.03, 2 In 3.25

---

No. 6
InOsSe: relaxed, PBE-GGA.

Volume (A^3/atom): 21.21
M_tot (Bohr magnetons per cell): 0.0
Excess energy over the best structure of this formula in the dataset (eV/atom): 0.000
Space-group type: No. 107
Density of states at the Fermi level (states/eV/atom): 0.477
Energy relative to the elements, uncorrected (meV per atom): 320

Cell: 7.2973 7.2973 7.2973 Å, 156.12 156.12 34.02°
Closest atoms and distances in Å follow each position.
Fractional positions:
1 In 0.9744 0.9744 0.0000  4 In 3.02, 4 Os 3.13
2 Se 0.7153 0.7153 0.0000  4 Os 2.51
3 Os 0.3103 0.3103 0.0000  4 Se 2.51